(1)
A PBEsol-optimized structure of Co5Pt4, computed with meta-GGA SCAN.

Properties
calculated density	15.742	g/cm3
crystal system	tetragonal
space-group type	I4/mmm (139)

Cell and atoms, written as POSCAR:
```
Co5Pt4
1.0
3.7246 0.0000 0.0000
1.8623 5.5177 0.0000
1.8623 0.0000 5.5177
Co Pt
5 4
Cartesian
3.7246 3.7628 0.0000
0.0000 0.0000 0.0000
1.8623 0.0000 1.7549
3.7246 0.0000 3.7628
1.8623 1.7549 0.0000
3.7246 3.7537 3.7537
1.8623 1.7639 3.7537
1.8623 3.7537 1.7639
3.7246 1.7639 1.7639
```



(2)
A PBEsol-optimized structure of CoPt2, computed with meta-GGA SCAN.

Properties
calculated density	18.154	g/cm3
crystal system	hexagonal
space-group type	P-62m (189)

Cell and atoms, written as POSCAR:
```
CoPt2
1.0
2.6960 0.0000 0.0000
0.0000 7.2652 0.0000
0.0000 -3.6326 6.2919
Pt Co
6 3
Cartesian
0.0000 -1.0764 1.8644
0.0000 2.5562 4.4275
1.3480 4.5887 0.0000
1.3480 -2.2943 3.9739
1.3480 1.3383 2.3180
0.0000 2.1528 0.0000
0.0000 3.6326 2.0973
0.0000 0.0000 4.1946
1.3480 0.0000 0.0000
```



(3)
A PBEsol-optimized structure of Co3Pt, computed with meta-GGA SCAN.

Properties
calculated density	13.255	g/cm3
crystal system	hexagonal
space-group type	P6_3/mmc (194)

Cell and atoms, written as POSCAR:
```
Co3Pt
1.0
4.0751 0.0000 0.0000
0.0000 5.1384 0.0000
0.0000 -2.5692 4.4500
Pt Co
2 6
Cartesian
3.0563 0.0000 2.9666
1.0188 2.5692 1.4833
1.0188 1.3497 3.7459
3.0563 2.5692 3.0419
1.0188 0.0000 1.4081
3.0563 3.9189 0.7041
3.0563 1.2195 0.7041
1.0188 -1.3497 3.7459
```



(4)
A PBEsol-optimized structure of Co4Pt, computed with meta-GGA SCAN.

Properties
calculated density	12.555	g/cm3
crystal system	tetragonal
excess energy over the best structure of this formula in the dataset	0	meV/atom
space-group type	I4/m (87)

Cell and atoms, written as POSCAR:
```
Co4Pt
1.0
3.5688 0.0000 0.0000
1.7844 3.9958 0.0000
1.7844 0.0000 3.9958
Co Pt
4 1
Cartesian
5.3531 2.3894 3.1447
1.7844 1.6064 0.8511
3.5688 0.8511 2.3894
3.5688 3.1447 1.6064
0.0000 0.0000 0.0000
```



Summary of ΔE_f in eV per atom
-0.130, -0.078, -0.140, -0.057
(order as listed above)
Summary of D(E_F) in states/eV per cell
7.074, 6.884, 4.883, 4.447
(order as listed above)
Summary of spin magnetization in μB per atom
1.269, 0.995, 1.499, 1.580
(order as listed above)